Entry 1:
The following is a PBE-GGA calculation of a geometry-optimized LaY4In5 structure, from the Alexandria database.

The structure belongs to space group P4/mmm (No. 123); the cell edges are 3.787, 3.787 and 19.154 Å and the angles 90.00°, 90.00° and 90.00°. The asymmetric unit holds La at (0.000, 0.000, 0.000), Y at (0.000, 0.000, 0.208), Y at (0.000, 0.000, 0.403), In at (0.500, 0.500, 0.111), In at (0.500, 0.500, 0.305) and In at (0.500, 0.500, 0.500).

As for the total energy: -4.953 eV/atom. For the energy of formation, the calculation gives -0.51 eV/atom.


Entry 2:
The following is a PBE-GGA calculation of a geometry-optimized La2YIn structure, from the Alexandria database.

The structure belongs to space group P2_1/m (No. 11); the cell edges are 6.807, 5.357 and 7.176 Å and the angles 90.00°, 101.09° and 90.00°. The asymmetric unit holds La at (0.106, 0.250, 0.293), La at (0.364, 0.750, 0.588), Y at (0.339, 0.750, 0.073) and In at (0.168, 0.250, 0.810).

As for the total energy: -5.017 eV/atom. For the energy of formation, the calculation gives -0.25 eV/atom.


Entry 3:
The following is a PBE-GGA calculation of a geometry-optimized La3YIn3 structure, from the Alexandria database.

The structure belongs to space group P2_13 (No. 198); the cell edges are 9.680, 9.680 and 9.680 Å and the angles 90.00°, 90.00° and 90.00°. The asymmetric unit holds La at (0.067, 0.433, 0.567), La at (0.166, 0.834, 0.334), La at (0.177, 0.177, 0.177), Y at (0.078, 0.578, 0.922) and In at (0.007, 0.258, 0.865).

As for the total energy: -4.570 eV/atom. For the energy above the most stable polymorph in this dataset, the calculation gives 0.000 eV/f.u. For the energy of formation, the calculation gives -0.36 eV/atom.


Entry 4:
The following is a PBE-GGA calculation of a geometry-optimized LaYIn structure, from the Alexandria database.

The structure belongs to space group P6_3/mmc (No. 194); the cell edges are 5.5512, 5.5512 and 6.8365 Å and the angles 90.00°, 90.00° and 120.00°. The asymmetric unit holds La at (0.0000, 0.0000, 0.0000), Y at (0.3333, 0.6667, 0.2500) and In at (0.3333, 0.6667, 0.7500).

As for the total energy: -5.078 eV/atom. For the energy above the most stable polymorph in this dataset, the calculation gives 0.000 eV/f.u. For the energy of formation, the calculation gives -0.37 eV/atom.